A relaxed CaCr2 crystal, computed with GGA-PBE. Values from VASP.

DOS at the Fermi energy in states/eV/atom: 1.42
Calculated formation energy in eV per atom: 0.969

```
&SYSTEM
  ibrav = 0, nat = 6, ntyp = 2
/
ATOMIC_SPECIES
Ca 40.08 Ca.upf
Cr 52.00 Cr.upf
ATOMIC_POSITIONS crystal
Ca 0.375 0.625 0.750
Ca 0.625 0.375 0.250
Cr 0.055 0.805 0.250
Cr 0.195 0.945 0.250
Cr 0.805 0.055 0.750
Cr 0.945 0.195 0.750
CELL_PARAMETERS angstrom
-2.197 2.197 6.518
2.197 -2.197 6.518
2.197 2.197 -6.518
```


A relaxed CaCr2 crystal, computed with GGA-PBE. Values from VASP.

DOS at the Fermi energy in states/eV/atom: 1.30
Calculated formation energy in eV per atom: 0.865

```
&SYSTEM
  ibrav = 0, nat = 3, ntyp = 2
/
ATOMIC_SPECIES
Ca 40.08 Ca.upf
Cr 52.00 Cr.upf
ATOMIC_POSITIONS crystal
Ca 0.000 0.000 0.000
Cr 0.333 0.667 0.395
Cr 0.667 0.333 0.605
CELL_PARAMETERS angstrom
3.048 0.000 0.000
-1.524 2.640 0.000
0.000 0.000 6.662
```


A relaxed CaCr2 crystal, computed with GGA-PBE. Values from VASP.

DOS at the Fermi energy in states/eV/atom: 2.24
Calculated formation energy in eV per atom: 0.802

```
&SYSTEM
  ibrav = 0, nat = 6, ntyp = 2
/
ATOMIC_SPECIES
Ca 40.08 Ca.upf
Cr 52.00 Cr.upf
ATOMIC_POSITIONS crystal
Ca 0.125 0.125 0.125
Ca 0.875 0.875 0.875
Cr 0.000 0.500 0.500
Cr 0.500 0.000 0.500
Cr 0.500 0.500 0.000
Cr 0.500 0.500 0.500
CELL_PARAMETERS angstrom
0.000 3.705 3.705
3.705 0.000 3.705
3.705 3.705 0.000
```


Respective ΔE to the lowest computed polymorph values: 1.55, 1.24, 1.05 eV/f.u..